Below is a relaxed ZnBr3N crystal, with properties calculated at the PBE level.

a = 5.2045 Å, b = 5.2045 Å, c = 5.2045 Å
α = 90.00°, β = 90.00°, γ = 90.00°
Sites, in units of the cell vectors:
Zn1 0.0000 0.0000 0.0000
Br1 0.0000 0.0000 0.5000
Br2 0.0000 0.5000 0.0000
Br3 0.5000 0.0000 0.0000
N1 0.5000 0.5000 0.5000

Results
Space-group type ... Pm-3m (221)
Raw total energy ... -2.109 eV per atom
Relative energy among the computed polymorphs ... 2.45 kcal/mol of atoms
Fermi-level density of states ... 6.7 states/eV/cell